Sm2DyCd4, optimized geometry, DFT PBE; energy above the most stable polymorph in this dataset = 0.418 eV per atom; calculated formation energy = 253 meV/atom; Fermi-level density of states = 7.26 states/eV/cell
1.0
-1.4266 -2.4496 -4.8485
5.3804 -1.3273 -0.9125
-3.0297 -4.9775 6.6591
Sm Dy Cd
2 1 4
Direct
0.6051 0.6051 0.2102 Sm
0.3949 0.3949 0.7898 Sm
0.0000 0.0000 0.0000 Dy
0.8077 0.8077 0.6155 Cd
0.1923 0.1923 0.3845 Cd
0.0000 0.5000 0.0000 Cd
0.5000 0.0000 0.0000 Cd

=====

Sm6RuRh2, optimized geometry, DFT PBE; calculated formation energy = -430 meV/atom; Fermi-level density of states = 15.67 states/eV/cell
1.0
-1.3883 -4.4848 4.7604
-3.4355 -4.2775 -5.0318
8.5295 -4.7693 -1.7691
Sm Ru Rh
12 2 4
Direct
0.8429 0.9557 0.2455 Sm
0.8244 0.6763 0.5673 Sm
0.8424 0.6705 0.9246 Sm
0.6576 0.1705 0.5754 Sm
0.6756 0.1763 0.9327 Sm
0.6571 0.4557 0.2545 Sm
0.1571 0.0443 0.7545 Sm
0.1756 0.3237 0.4327 Sm
0.1576 0.3295 0.0754 Sm
0.3424 0.8295 0.4246 Sm
0.3244 0.8237 0.0673 Sm
0.3429 0.5443 0.7455 Sm
0.5000 0.5000 0.0000 Ru
0.0000 0.0000 0.5000 Ru
0.9544 0.3786 0.7302 Rh
0.5456 0.8786 0.7698 Rh
0.4544 0.1214 0.2302 Rh
0.0456 0.6214 0.2698 Rh

=====

Sm11Tl9Pd4, optimized geometry, DFT PBE; calculated formation energy = -555 meV/atom; Fermi-level density of states = 17.54 states/eV/cell
1.0
-2.7778 -0.7638 2.4579
8.4913 -7.6972 7.2042
-0.0156 12.9321 4.0012
Sm Tl Pd
11 9 4
Direct
0.0000 0.5857 0.9250 Sm
0.0000 0.4143 0.0750 Sm
0.0000 0.9250 0.5857 Sm
0.0000 0.0750 0.4143 Sm
0.0000 0.6276 0.3724 Sm
0.0000 0.3724 0.6276 Sm
0.0000 0.8375 0.1625 Sm
0.0000 0.1625 0.8375 Sm
0.0000 0.0000 0.0000 Sm
0.0000 0.6915 0.6915 Sm
0.0000 0.3085 0.3085 Sm
0.5000 0.6308 0.1549 Tl
0.5000 0.3692 0.8451 Tl
0.5000 0.1549 0.6308 Tl
0.5000 0.8451 0.3692 Tl
0.5000 0.7843 0.9295 Tl
0.5000 0.2157 0.0705 Tl
0.5000 0.9295 0.7843 Tl
0.5000 0.0705 0.2157 Tl
0.5000 0.5000 0.5000 Tl
0.5000 0.5512 0.7521 Pd
0.5000 0.4488 0.2479 Pd
0.5000 0.7521 0.5512 Pd
0.5000 0.2479 0.4488 Pd

=====

HfCoGeRh, optimized geometry, DFT PBE; calculated formation energy = -555 meV/atom; Fermi-level density of states = 2.39 states/eV/cell
1.0
4.3854 0.0000 0.0000
2.1927 3.7978 0.0000
2.1927 1.2659 3.5806
Rh Ge Hf Co
1 1 1 1
Direct
0.2500 0.2500 0.2500 Rh
0.5000 0.5000 0.5000 Ge
0.0000 0.0000 0.0000 Hf
0.7500 0.7500 0.7500 Co

=====

CsPaRhS4, optimized geometry, DFT PBE; Fermi-level density of states = 5.12 states/eV/cell; raw formation energy = -106.1 kJ/mol of atoms
1.0
-6.5328 -1.3215 -0.0768
0.9297 -4.7984 3.4874
1.1636 5.6305 7.4369
Cs Pa Rh S
2 2 2 8
Direct
0.7563 0.7500 0.9576 Cs
0.2437 0.2500 0.0424 Cs
0.7488 0.7500 0.4578 Pa
0.2512 0.2500 0.5422 Pa
0.2389 0.7500 0.3797 Rh
0.7611 0.2500 0.6203 Rh
0.0198 0.5070 0.6891 S
0.9802 0.0070 0.3109 S
0.9802 0.4930 0.3109 S
0.0198 0.9930 0.6891 S
0.4520 0.7500 0.2152 S
0.5480 0.2500 0.7848 S
0.4602 0.7500 0.6056 S
0.5398 0.2500 0.3944 S

=====

Y8Er2Tm, optimized geometry, DFT PBE; energy above the most stable polymorph in this dataset = 0.000 eV per atom; calculated formation energy = 163 meV/atom; Fermi-level density of states = 17.73 states/eV/cell
1.0
5.6239 1.6811 0.0000
2.6872 8.6083 0.0000
1.3436 4.3041 8.1031
Y Er Tm
8 2 1
Direct
0.8212 0.0981 0.2377 Y
0.8212 0.3358 0.7623 Y
0.2935 0.4288 0.0000 Y
0.5000 0.7947 0.4107 Y
0.5000 0.2053 0.5893 Y
0.7065 0.5712 0.0000 Y
0.1788 0.6642 0.2377 Y
0.1788 0.9019 0.7623 Y
0.0000 0.3085 0.3831 Er
0.0000 0.6915 0.6169 Er
0.5000 0.0000 0.0000 Tm

=====

Ba2CaGa3Pt4, optimized geometry, DFT PBE; calculated formation energy = -797 meV/atom; Fermi-level density of states = 4.41 states/eV/cell
1.0
4.5339 0.0000 0.0000
0.0000 4.5339 0.0000
0.0000 0.0000 11.1661
Ba Ca Ga Pt
2 1 3 4
Direct
0.5000 0.0000 0.2334 Ba
0.0000 0.5000 0.7666 Ba
0.5000 0.5000 0.5000 Ca
0.0000 0.0000 0.5000 Ga
0.5000 0.0000 0.8893 Ga
0.0000 0.5000 0.1107 Ga
0.5000 0.5000 0.0000 Pt
0.0000 0.0000 0.0000 Pt
0.5000 0.0000 0.6522 Pt
0.0000 0.5000 0.3478 Pt

=====

ScMn2Au, optimized geometry, DFT PBE; calculated formation energy = 212 meV/atom; Fermi-level density of states = 6.63 states/eV/cell
1.0
3.9063 0.0000 0.0000
0.0000 3.9063 0.0000
1.9532 1.9532 9.5839
Sc Mn Au
2 4 2
Direct
0.5000 0.5000 0.0000 Sc
0.2500 0.7500 0.5000 Sc
0.6333 0.1250 0.2500 Mn
0.1167 0.6250 0.2500 Mn
0.3750 0.3667 0.7500 Mn
0.8750 0.8833 0.7500 Mn
0.0000 0.0000 0.0000 Au
0.7500 0.2500 0.5000 Au

=====

Pu2H6RuPt, optimized geometry, DFT PBE; E = -6.69 eV/atom; Fermi-level density of states = 41.73 states/eV/cell
1.0
5.2212 0.0000 0.0000
2.6106 4.5217 0.0000
2.6106 1.5072 8.9049
Pu H Ru Pt
4 12 2 2
Direct
0.8746 0.8746 0.3761 Pu
0.1254 0.1254 0.6239 Pu
0.7200 0.7200 0.8400 Pu
0.2800 0.2800 0.1600 Pu
0.8767 0.3593 0.4048 H
0.3593 0.8767 0.4048 H
0.3593 0.3593 0.4048 H
0.1233 0.6407 0.5952 H
0.6407 0.1233 0.5952 H
0.6407 0.6407 0.5952 H
0.7731 0.1838 0.8594 H
0.1838 0.7731 0.8594 H
0.1838 0.1838 0.8594 H
0.2269 0.8162 0.1406 H
0.8162 0.2269 0.1406 H
0.8162 0.8162 0.1406 H
0.0000 0.0000 0.0000 Ru
0.5000 0.5000 0.5000 Ru
0.6106 0.6106 0.1681 Pt
0.3894 0.3894 0.8319 Pt

=====

Ba2Ga3Sn4Pd, optimized geometry, DFT PBE; calculated formation energy = -459 meV/atom; Fermi-level density of states = 4.11 states/eV/cell
1.0
-3.4896 -1.5785 3.1690
3.4853 -0.7502 3.4643
-1.3758 10.2963 3.6138
Ba Ga Sn Pd
2 3 4 1
Direct
0.5000 0.0000 0.2609 Ba
0.0000 0.5000 0.7391 Ba
0.0000 0.0000 0.5000 Ga
0.5000 0.0000 0.8676 Ga
0.0000 0.5000 0.1324 Ga
0.5000 0.5000 0.0000 Sn
0.0000 0.0000 0.0000 Sn
0.5000 0.0000 0.6161 Sn
0.0000 0.5000 0.3839 Sn
0.5000 0.5000 0.5000 Pd

=====

ZrTl3Sn2Te6, optimized geometry, DFT PBE; Fermi-level density of states = 5.71 states/eV/cell; raw formation energy = -43.8 kJ/mol of atoms
1.0
-5.1257 -3.6751 -4.4700
7.5611 -0.7102 -1.4437
-0.4886 -4.7708 6.7224
Zr Tl Sn Te
1 3 2 6
Direct
0.0000 0.0000 0.0000 Zr
0.1709 0.8291 0.5000 Tl
0.8291 0.1709 0.5000 Tl
0.5000 0.5000 0.5000 Tl
0.3345 0.6655 0.0000 Sn
0.6655 0.3345 0.0000 Sn
0.9304 0.6159 0.7904 Te
0.7580 0.7580 0.2139 Te
0.0696 0.3841 0.2096 Te
0.6159 0.9304 0.7904 Te
0.2420 0.2420 0.7861 Te
0.3841 0.0696 0.2096 Te

=====

PuAlPd, optimized geometry, DFT PBE; calculated formation energy = -520 meV/atom; Fermi-level density of states = 6.67 states/eV/cell
1.0
3.0896 0.0000 0.0000
0.0000 3.0896 0.0000
-1.5448 -1.5448 5.9825
Al Pd Pu
1 1 1
Direct
0.3058 0.3058 0.6116 Al
0.6922 0.6922 0.3845 Pd
0.0020 0.0020 0.0039 Pu

=====

Ac2ThP3Rh12, optimized geometry, DFT PBE; calculated formation energy = -370 meV/atom; Fermi-level density of states = 11.29 states/eV/cell
1.0
-3.4695 2.6855 6.0176
-7.4003 -0.3367 -0.7636
-2.9027 -5.4793 4.1245
Ac Th P Rh
2 1 3 12
Direct
0.6034 0.6034 0.6034 Ac
0.3966 0.3966 0.3966 Ac
0.0000 0.0000 0.0000 Th
0.5000 0.0000 0.0000 P
0.0000 0.5000 0.0000 P
0.0000 0.0000 0.5000 P
0.3281 0.3281 0.9109 Rh
0.8588 0.8588 0.3869 Rh
0.3869 0.8588 0.8588 Rh
0.9109 0.3281 0.3281 Rh
0.8588 0.3869 0.8588 Rh
0.3281 0.9109 0.3281 Rh
0.6719 0.6719 0.0891 Rh
0.1412 0.1412 0.6131 Rh
0.6131 0.1412 0.1412 Rh
0.0891 0.6719 0.6719 Rh
0.1412 0.6131 0.1412 Rh
0.6719 0.0891 0.6719 Rh

=====

LiNbFeTe, optimized geometry, DFT PBE; energy above the most stable polymorph in this dataset = 0.260 eV per atom; Fermi-level density of states = 7.51 states/eV/cell; raw formation energy = 17.5 kJ/mol of atoms
1.0
4.3371 0.0000 0.0000
-2.1685 3.7560 0.0000
0.0000 0.0000 11.9379
Li Nb Fe Te
3 3 3 3
Direct
0.0000 0.0000 0.9298 Li
0.3333 0.6667 0.5965 Li
0.6667 0.3333 0.2632 Li
0.0000 0.0000 0.7033 Nb
0.3333 0.6667 0.3700 Nb
0.6667 0.3333 0.0366 Nb
0.0000 0.0000 0.5029 Fe
0.3333 0.6667 0.1696 Fe
0.6667 0.3333 0.8363 Fe
0.0000 0.0000 0.1611 Te
0.3333 0.6667 0.8278 Te
0.6667 0.3333 0.4945 Te

=====

K2AlRe, optimized geometry, DFT PBE; calculated formation energy = 1078 meV/atom; Fermi-level density of states = 3.23 states/eV/cell
1.0
-0.8775 2.0132 1.7469
-2.1694 -0.5685 -1.6868
-3.8095 -8.3548 7.7151
Re K Al
1 2 1
Direct
0.5000 0.5000 0.2500 Re
0.0000 0.0000 0.0110 K
0.0000 0.0000 0.4890 K
0.5000 0.5000 0.7500 Al

=====

Dy8HoTl6, optimized geometry, DFT PBE; calculated formation energy = -132 meV/atom; Fermi-level density of states = 20.24 states/eV/cell
1.0
-5.2615 -4.0841 -6.1922
3.3625 -6.7495 -5.0837
-2.5415 -7.9277 0.7100
Dy Ho Tl
8 1 6
Direct
0.5576 0.2242 0.3273 Dy
0.7758 0.1091 0.6727 Dy
0.1091 0.4424 0.6727 Dy
0.6666 0.6666 0.0002 Dy
0.3334 0.3334 0.9998 Dy
0.8909 0.5576 0.3273 Dy
0.2242 0.8909 0.3273 Dy
0.4424 0.7758 0.6727 Dy
0.0000 0.0000 0.0000 Ho
0.3967 0.0639 0.8081 Tl
0.9361 0.2688 0.1919 Tl
0.2688 0.6033 0.1919 Tl
0.7312 0.3967 0.8081 Tl
0.0639 0.7312 0.8081 Tl
0.6033 0.9361 0.1919 Tl

=====

ThGa4Pd2Rh, optimized geometry, DFT PBE; calculated formation energy = -645 meV/atom; Fermi-level density of states = 2.69 states/eV/cell
1.0
4.2983 0.0000 0.0000
2.1491 3.7224 0.0000
2.1491 1.2408 8.8350
Th Ga Pd Rh
1 4 2 1
Direct
0.0000 0.0000 0.0000 Th
0.4009 0.4009 0.7974 Ga
0.8676 0.8676 0.3973 Ga
0.1324 0.1324 0.6027 Ga
0.5991 0.5991 0.2026 Ga
0.7646 0.7646 0.7062 Pd
0.2354 0.2354 0.2938 Pd
0.5000 0.5000 0.5000 Rh

=====

LaSn12Au4, optimized geometry, DFT PBE; calculated formation energy = -213 meV/atom; Fermi-level density of states = 6.26 states/eV/cell
1.0
-7.0871 -1.7211 -4.1564
3.8416 -7.1705 2.0701
-1.8195 4.3123 6.9680
La Sn Au
1 12 4
Direct
0.0000 0.0000 0.0000 La
0.8457 0.3479 0.1936 Sn
0.3479 0.5022 0.1543 Sn
0.8064 0.1543 0.6521 Sn
0.3479 0.1936 0.8457 Sn
0.1936 0.8457 0.3479 Sn
0.6521 0.4978 0.8457 Sn
0.5022 0.1543 0.3479 Sn
0.4978 0.8457 0.6521 Sn
0.6521 0.8064 0.1543 Sn
0.8457 0.6521 0.4978 Sn
0.1543 0.3479 0.5022 Sn
0.1543 0.6521 0.8064 Sn
0.0000 0.5000 0.0000 Au
0.5000 0.0000 0.0000 Au
0.5000 0.5000 0.5000 Au
0.0000 0.0000 0.5000 Au

=====

Li2LaSnS, optimized geometry, DFT PBE; Fermi-level density of states = 5.91 states/eV/cell; raw formation energy = -89.4 kJ/mol of atoms
1.0
-0.8023 1.1162 4.5099
2.3561 -3.8468 1.3712
4.8387 3.0053 0.1170
S Li Sn La
1 2 1 1
Direct
0.0000 0.0000 0.0000 S
0.0000 0.5000 0.0000 Li
0.5000 0.0000 0.0000 Li
0.5000 0.5000 0.5000 Sn
0.0000 0.0000 0.5000 La

=====

Tm4Mg3Cd2, optimized geometry, DFT PBE; calculated formation energy = -148 meV/atom; Fermi-level density of states = 7.73 states/eV/cell
1.0
-5.1980 -0.1606 -0.5391
-2.9310 -2.3845 3.6139
-0.7673 8.3915 4.9054
Tm Mg Cd
4 3 2
Direct
0.6669 0.6663 0.8799 Tm
0.9998 0.0004 0.3273 Tm
0.0002 0.9996 0.6727 Tm
0.3331 0.3337 0.1201 Tm
0.3333 0.3334 0.4842 Mg
0.0000 0.0000 0.0000 Mg
0.6667 0.6666 0.5158 Mg
0.3337 0.3327 0.8003 Cd
0.6663 0.6673 0.1997 Cd

=====

LiP2Os, optimized geometry, DFT PBE; energy above the most stable polymorph in this dataset = 0.414 eV per atom; calculated formation energy = 173 meV/atom; Fermi-level density of states = 3.17 states/eV/cell
1.0
-2.6440 0.1355 1.6555
1.7854 -2.6476 3.0680
1.3040 3.0074 1.8365
Li Os P
1 1 2
Direct
0.5000 0.0000 0.5000 Li
0.0000 0.5000 0.5000 Os
0.0000 0.0000 0.0000 P
0.5000 0.5000 0.0000 P

=====

Calculated density / g cm⁻³: 6.077, 8.124, 10.169, 11.499, 5.425, 5.671, 9.436, 7.989, 12.483, 6.507, 6.970, 10.974, 9.682, 7.257, 5.333, 9.600, 9.711, 8.576, 3.980, 7.003, 8.282